Compound: Pm3PrRh2
Source: Alexandria via LeMat-Bulk
Functional: PBE
Structure: optimized geometry

a = 13.149 Å, b = 6.843 Å, c = 7.756 Å
α = 90.00°, β = 107.22°, γ = 90.00°
Space group C2/c (No. 15)
Inequivalent atoms, fractional coordinates:
Pm1 0.000 0.239 0.250 (multiplicity 4)
Pm2 0.220 0.500 0.110 (multiplicity 8)
Pr1 0.000 0.250 0.750 (multiplicity 4)
Rh1 0.123 0.000 0.061 (multiplicity 8)

Output
final energy = -0.225 hartree per atom
ΔH_f (0 K) = -0.502 eV per atom
crystal system = monoclinic